An optimized crystal structure of HfNbCuRe, computed with PBE-GGA.

Cell lengths 4.5612, 4.5612, 4.5612 Å; angles 60.00, 60.00, 60.00 degrees
Last column: nearest neighbours and their distance in Å.
Positions (direct):
Re (0.7500, 0.7500, 0.7500)  4 Hf 2.79, 4 Nb 2.79
Nb (0.5000, 0.5000, 0.5000)  4 Cu 2.79, 4 Re 2.79
Hf (0.0000, 0.0000, 0.0000)  4 Re 2.79, 4 Cu 2.79
Cu (0.2500, 0.2500, 0.2500)  4 Hf 2.79, 4 Nb 2.79

Computed properties:
- ΔE_f (meV per atom) = -147
- space-group type = F-43m, No. 216
- final energy (eV per cell) = -37.2